1.
GGA-PBE CrGa2Rh2, optimized geometry; calculated formation energy = 0.28 eV per atom; M_tot = 0.0 μB per formula unit; offset from the most stable computed form = 0.447 eV per atom
1.0
3.8867 0.0000 0.0000
0.0000 3.8867 0.0000
0.0000 0.0000 10.5518
Cr Ga Rh
2 4 4
Cartesian
0.0000 0.0000 0.0000
1.9433 1.9433 5.2759
0.0000 0.0000 4.1116
0.0000 0.0000 6.4402
1.9433 1.9433 1.1643
1.9433 1.9433 9.3875
0.0000 1.9433 2.6380
0.0000 1.9433 7.9139
1.9433 0.0000 2.6380
1.9433 0.0000 7.9139

2.
GGA-PBE CrGa2Rh2, optimized geometry; calculated formation energy = -0.10 eV per atom; M_tot = 0.2 μB per formula unit; offset from the most stable computed form = 0.076 eV per atom
1.0
7.1509 0.0000 0.0000
0.0000 7.1509 0.0000
0.0000 0.0000 2.8448
Cr Ga Rh
2 4 4
Cartesian
0.0000 0.0000 0.0000
3.5754 3.5754 0.0000
1.1398 2.4357 1.4224
2.4357 6.0111 1.4224
4.7152 1.1398 1.4224
6.0111 4.7152 1.4224
1.0041 4.5796 0.0000
2.5713 1.0041 0.0000
4.5796 6.1468 0.0000
6.1468 2.5713 0.0000

3.
GGA-PBE Cr2GaRh2, optimized geometry; calculated formation energy = 0.07 eV per atom; M_tot = 0.0 μB per formula unit; offset from the most stable computed form = 0.053 eV per atom
1.0
7.1799 0.0000 0.0000
0.0000 7.1799 0.0000
0.0000 0.0000 2.7317
Cr Ga Rh
4 2 4
Cartesian
0.7892 2.8008 0.0000
2.8008 6.3908 0.0000
4.3791 0.7892 0.0000
6.3908 4.3791 0.0000
0.0000 0.0000 0.0000
3.5900 3.5900 0.0000
1.2743 4.8643 1.3659
2.3157 1.2743 1.3659
4.8643 5.9056 1.3659
5.9056 2.3157 1.3659

4.
GGA-PBE CrGaRh2, optimized geometry; calculated formation energy = -0.39 eV per atom; M_tot = 3.0 μB per formula unit
1.0
6.0604 0.0000 0.0000
0.0000 6.0604 0.0000
0.0000 0.0000 6.0604
Cr Ga Rh
4 4 8
Cartesian
0.0000 0.0000 0.0000
0.0000 3.0302 3.0302
3.0302 0.0000 3.0302
3.0302 3.0302 0.0000
0.0000 0.0000 3.0302
0.0000 3.0302 0.0000
3.0302 0.0000 0.0000
3.0302 3.0302 3.0302
1.5151 1.5151 1.5151
1.5151 1.5151 4.5453
1.5151 4.5453 1.5151
1.5151 4.5453 4.5453
4.5453 1.5151 1.5151
4.5453 1.5151 4.5453
4.5453 4.5453 1.5151
4.5453 4.5453 4.5453

5.
GGA-PBE Cr2GaRh2, optimized geometry; calculated formation energy = 0.06 eV per atom; M_tot = 3.4 μB per formula unit; offset from the most stable computed form = 0.044 eV per atom
1.0
7.1931 0.0000 0.0000
0.0000 7.1931 0.0000
0.0000 0.0000 2.7930
Cr Ga Rh
4 2 4
Cartesian
1.1911 2.4054 0.0000
2.4054 6.0020 0.0000
4.7877 1.1911 0.0000
6.0020 4.7877 0.0000
0.0000 0.0000 1.3965
3.5966 3.5966 1.3965
0.9503 4.5468 1.3965
2.6463 0.9503 1.3965
4.5468 6.2429 1.3965
6.2429 2.6463 1.3965

6.
GGA-PBE CrGaRh2, optimized geometry; calculated formation energy = -0.36 eV per atom; M_tot = 3.2 μB per formula unit
1.0
4.2656 0.0000 0.0000
0.0000 4.2656 0.0000
0.0000 0.0000 3.0694
Cr Ga Rh
1 1 2
Cartesian
0.0000 0.0000 0.0000
2.1328 2.1328 0.0000
0.0000 2.1328 1.5347
2.1328 0.0000 1.5347

7.
GGA-PBE Cr2GaRh2, optimized geometry; calculated formation energy = 0.01 eV per atom; M_tot = 0.0 μB per formula unit; offset from the most stable computed form = 0.000 eV per atom
1.0
3.1577 0.0000 0.0000
0.0000 3.1577 0.0000
0.0000 0.0000 13.9933
Cr Ga Rh
4 2 4
Cartesian
0.0000 1.5789 3.4983
0.0000 1.5789 10.4950
1.5789 0.0000 3.4983
1.5789 0.0000 10.4950
0.0000 0.0000 0.0000
1.5789 1.5789 6.9966
0.0000 0.0000 5.5881
0.0000 0.0000 8.4052
1.5789 1.5789 1.4085
1.5789 1.5789 12.5847

8.
GGA-PBE CrGa4Rh5, optimized geometry; calculated formation energy = -0.55 eV per atom; M_tot = 3.4 μB per formula unit
1.0
3.0405 0.0000 0.0000
0.0000 3.0405 0.0000
0.0000 0.0000 15.1400
Cr Ga Rh
1 4 5
Cartesian
0.0000 0.0000 0.0000
0.0000 0.0000 2.9919
0.0000 0.0000 6.0467
0.0000 0.0000 9.0932
0.0000 0.0000 12.1481
1.5203 1.5203 1.5384
1.5203 1.5203 4.5542
1.5203 1.5203 7.5700
1.5203 1.5203 10.5858
1.5203 1.5203 13.6016